[1]
Compound: CaBeSi4
Source: Alexandria via LeMat-Bulk
Functional: PBE
Structure: optimized geometry

As for the uncorrected formation energy: 0.256 eV/atom. The density of states at the Fermi level is 10.623 states/eV/cell. For the total energy, the calculation gives -4.314 eV per atom.

It has space group F-43m (No. 216), with a = 7.287 Å, b = 7.287 Å, c = 7.287 Å, α = 90.00°, β = 90.00° and γ = 90.00°. The asymmetric unit holds Ca at (0.000, 0.000, 0.000), Be at (0.250, 0.250, 0.250) and Si at (0.124, 0.124, 0.624).



[2]
Compound: CaBeSi3
Source: Alexandria via LeMat-Bulk
Functional: PBE
Structure: optimized geometry

As for the polymorph energy (0 for the lowest one): 0.000 eV per atom. As for the uncorrected formation energy: 0.309 eV/atom. The density of states at the Fermi level is 2.303 states/eV/cell. For the total energy, the calculation gives -4.090 eV per atom.

It has space group Pm-3m (No. 221), with a = 4.469 Å, b = 4.469 Å, c = 4.469 Å, α = 90.00°, β = 90.00° and γ = 90.00°. The asymmetric unit holds Ca at (0.000, 0.000, 0.000), Be at (0.500, 0.500, 0.500) and Si at (0.000, 0.500, 0.500).



[3]
Compound: CaBe3Si3
Source: Alexandria via LeMat-Bulk
Functional: PBE
Structure: optimized geometry

As for the uncorrected formation energy: 0.268 eV/atom. The density of states at the Fermi level is 9.122 states/eV/cell. For the total energy, the calculation gives -3.939 eV per atom.

It has space group Pm-3n (No. 223), with a = 6.236 Å, b = 6.236 Å, c = 6.236 Å, α = 90.00°, β = 90.00° and γ = 90.00°. The asymmetric unit holds Ca at (0.000, 0.000, 0.000), Be at (0.000, 0.250, 0.500) and Si at (0.000, 0.500, 0.250).



What did the second record say?
Compound: CaBeSi3
Source: Alexandria via LeMat-Bulk
Functional: PBE
Structure: optimized geometry

As for the polymorph energy (0 for the lowest one): 0.000 eV per atom. As for the uncorrected formation energy: 0.309 eV/atom. The density of states at the Fermi level is 2.303 states/eV/cell. For the total energy, the calculation gives -4.090 eV per atom.

It has space group Pm-3m (No. 221), with a = 4.469 Å, b = 4.469 Å, c = 4.469 Å, α = 90.00°, β = 90.00° and γ = 90.00°. The asymmetric unit holds Ca at (0.000, 0.000, 0.000), Be at (0.500, 0.500, 0.500) and Si at (0.000, 0.500, 0.500).



Number 2 is which compound?
CaBeSi3